Record 1
This record from Alexandria describes a relaxed structure of Y2GaAg. The functional is PBE.

a b c (Å): 6.8490 6.8490 6.8490
angles (deg): 153.05 129.73 57.96
Fractional coordinates of all 4 atoms:
Y 0.2484 0.2484 0.0000
Y 0.7516 0.7516 0.0000
Ga 0.5000 0.5000 0.0000
Ag 0.0000 0.0000 0.0000

Calculated values
E_form (eV/atom): 0.423
Calculated density (Mg/m³): 5.3

Record 2
This record from Alexandria describes a relaxed structure of Ho3SnRh2. The functional is PBE.

a b c (Å): 3.3898 3.3898 11.5177
angles (deg): 90.00 90.00 90.00
Fractional coordinates of all 6 atoms:
Ho 0.0000 0.0000 0.0000
Ho 0.0000 0.0000 0.2996
Ho 0.0000 0.0000 0.7004
Sn 0.5000 0.5000 0.5000
Rh 0.5000 0.5000 0.1534
Rh 0.5000 0.5000 0.8466

Calculated values
E_form (eV/atom): -0.818
Calculated density (Mg/m³): 10.3
Excess energy over the best structure of this formula in the dataset (eV per atom): 0.0000

Record 3
This record from Alexandria describes a relaxed structure of KAuSe. The functional is PBE.

a b c (Å): 3.1839 3.1839 8.0708
angles (deg): 90.00 90.00 120.00
Fractional coordinates of all 3 atoms:
K 0.0000 0.0000 0.0000
Au 0.6667 0.3333 0.6615
Se 0.3333 0.6667 0.3257

Calculated values
Energy relative to the elements, uncorrected (eV per atom): 0.15
Calculated density (Mg/m³): 7.4

Record 4
This record from Alexandria describes a relaxed structure of Ce2PdS. The functional is PBE.

a b c (Å): 7.8333 7.8333 7.8333
angles (deg): 28.99 28.99 28.99
Fractional coordinates of all 4 atoms:
Ce 0.0000 0.0000 0.0000
Ce 0.1687 0.1687 0.1687
Pd 0.5853 0.5853 0.5853
S 0.4173 0.4173 0.4173

Calculated values
Energy relative to the elements, uncorrected (eV per atom): -1.10
Calculated density (Mg/m³): 7.0

Record 5
This record from Alexandria describes a relaxed structure of ScN2Cl. The functional is PBE.

a b c (Å): 6.7923 6.7923 6.7923
angles (deg): 140.55 140.55 57.02
Fractional coordinates of all 8 atoms:
Sc 0.0000 0.0000 0.0000
Sc 0.7500 0.2500 0.5000
N 0.0906 0.6250 0.9656
N 0.3750 0.3406 0.4656
N 0.6594 0.1250 0.0344
N 0.8750 0.9094 0.5344
Cl 0.2500 0.7500 0.5000
Cl 0.5000 0.5000 0.0000

Calculated values
Energy relative to the elements, uncorrected (eV per atom): 0.69
Calculated density (Mg/m³): 2.9
Excess energy over the best structure of this formula in the dataset (eV per atom): 0.6090

Record 6
This record from Alexandria describes a relaxed structure of Ti5ZnO7. The functional is PBE.

a b c (Å): 5.1571 5.1571 17.8606
angles (deg): 90.00 90.00 146.67
Fractional coordinates of all 26 atoms:
Ti 0.0000 0.0000 0.0000
Ti 0.0000 0.0000 0.5000
Ti 0.2981 0.7019 0.5722
Ti 0.2981 0.7019 0.9278
Ti 0.4558 0.5442 0.1485
Ti 0.4558 0.5442 0.3515
Ti 0.5442 0.4558 0.6485
Ti 0.5442 0.4558 0.8515
Ti 0.7019 0.2981 0.0722
Ti 0.7019 0.2981 0.4278
Zn 0.2019 0.7981 0.2500
Zn 0.7981 0.2019 0.7500
O 0.0847 0.9153 0.1157
O 0.0847 0.9153 0.3843
O 0.1886 0.8114 0.6727
O 0.1886 0.8114 0.8273
O 0.3493 0.6507 0.0434
O 0.3493 0.6507 0.4566
O 0.4536 0.5464 0.7500
O 0.5464 0.4536 0.2500
O 0.6507 0.3493 0.5434
O 0.6507 0.3493 0.9566
O 0.8114 0.1886 0.1727
O 0.8114 0.1886 0.3273
O 0.9153 0.0847 0.6157
O 0.9153 0.0847 0.8843

Calculated values
Energy relative to the elements, uncorrected (eV per atom): -2.36
Calculated density (Mg/m³): 5.3

Record 7
This record from Alexandria describes a relaxed structure of Y2PuSn. The functional is PBE.

a b c (Å): 3.5784 3.5784 8.9009
angles (deg): 90.00 90.00 90.00
Fractional coordinates of all 4 atoms:
Y 0.0000 0.0000 0.2299
Y 0.0000 0.0000 0.7701
Pu 0.5000 0.5000 0.5000
Sn 0.5000 0.5000 0.0000

Calculated values
E_form (eV/atom): -0.222
Calculated density (Mg/m³): 7.9
Excess energy over the best structure of this formula in the dataset (eV per atom): 0.0965

Record 8
This record from Alexandria describes a relaxed structure of Sr2YGe. The functional is PBE.

a b c (Å): 5.7464 5.7464 5.7464
angles (deg): 60.00 60.00 60.00
Fractional coordinates of all 4 atoms:
Sr 0.2500 0.2500 0.2500
Sr 0.7500 0.7500 0.7500
Y 0.0000 0.0000 0.0000
Ge 0.5000 0.5000 0.5000

Calculated values
E_form (eV/atom): 0.127
Calculated density (Mg/m³): 4.2
Excess energy over the best structure of this formula in the dataset (eV per atom): 0.1439

Record 9
This record from Alexandria describes a relaxed structure of Pm12As3H5. The functional is PBE.

a b c (Å): 13.5310 13.5310 13.5310
angles (deg): 109.47 109.47 109.47
Fractional coordinates of all 80 atoms:
Pm 0.0242 0.2150 0.1173
Pm 0.0242 0.3092 0.9069
Pm 0.0931 0.6173 0.4023
Pm 0.0931 0.9758 0.6908
Pm 0.0977 0.7150 0.6908
Pm 0.0977 0.8827 0.4069
Pm 0.1173 0.0242 0.2150
Pm 0.1173 0.5931 0.9023
Pm 0.1908 0.2150 0.5977
Pm 0.1908 0.4758 0.5931
Pm 0.2150 0.1173 0.0242
Pm 0.2150 0.5977 0.1908
Pm 0.2850 0.3092 0.9023
Pm 0.2850 0.4758 0.3827
Pm 0.3092 0.9023 0.2850
Pm 0.3092 0.9069 0.0242
Pm 0.3827 0.2850 0.4758
Pm 0.3827 0.5977 0.9069
Pm 0.4023 0.0931 0.6173
Pm 0.4023 0.8092 0.7850
Pm 0.4069 0.0977 0.8827
Pm 0.4069 0.8092 0.5242
Pm 0.4758 0.3827 0.2850
Pm 0.4758 0.5931 0.1908
Pm 0.5242 0.4069 0.8092
Pm 0.5242 0.6173 0.7150
Pm 0.5931 0.1908 0.4758
Pm 0.5931 0.9023 0.1173
Pm 0.5977 0.1908 0.2150
Pm 0.5977 0.9069 0.3827
Pm 0.6173 0.4023 0.0931
Pm 0.6173 0.7150 0.5242
Pm 0.6908 0.0931 0.9758
Pm 0.6908 0.0977 0.7150
Pm 0.7150 0.5242 0.6173
Pm 0.7150 0.6908 0.0977
Pm 0.7850 0.4023 0.8092
Pm 0.7850 0.8827 0.9758
Pm 0.8092 0.5242 0.4069
Pm 0.8092 0.7850 0.4023
Pm 0.8827 0.4069 0.0977
Pm 0.8827 0.9758 0.7850
Pm 0.9023 0.1173 0.5931
Pm 0.9023 0.2850 0.3092
Pm 0.9069 0.0242 0.3092
Pm 0.9069 0.3827 0.5977
Pm 0.9758 0.6908 0.0931
Pm 0.9758 0.7850 0.8827
As 0.1250 0.2500 0.3750
As 0.1250 0.3750 0.7500
As 0.2500 0.3750 0.1250
As 0.2500 0.8750 0.6250
As 0.3750 0.1250 0.2500
As 0.3750 0.7500 0.1250
As 0.6250 0.2500 0.8750
As 0.6250 0.8750 0.7500
As 0.7500 0.1250 0.3750
As 0.7500 0.6250 0.8750
As 0.8750 0.6250 0.2500
As 0.8750 0.7500 0.6250
H 0.0000 0.0000 0.0000
H 0.0000 0.0000 0.5000
H 0.0000 0.5000 0.0000
H 0.0000 0.5000 0.5000
H 0.1250 0.7500 0.8750
H 0.1250 0.8750 0.2500
H 0.2500 0.1250 0.8750
H 0.2500 0.6250 0.3750
H 0.3750 0.2500 0.6250
H 0.3750 0.6250 0.7500
H 0.5000 0.0000 0.0000
H 0.5000 0.0000 0.5000
H 0.5000 0.5000 0.0000
H 0.5000 0.5000 0.5000
H 0.6250 0.3750 0.2500
H 0.6250 0.7500 0.3750
H 0.7500 0.3750 0.6250
H 0.7500 0.8750 0.1250
H 0.8750 0.1250 0.7500
H 0.8750 0.2500 0.1250

Calculated values
Final energy (eV per atom): -4.908
Calculated density (Mg/m³): 6.9

Record 10
This record from Alexandria describes a relaxed structure of TlC2. The functional is PBE.

a b c (Å): 3.5944 3.5944 8.6383
angles (deg): 90.00 90.00 120.00
Fractional coordinates of all 6 atoms:
Tl 0.3333 0.6667 0.2500
Tl 0.6667 0.3333 0.7500
C 0.0000 0.0000 0.0738
C 0.0000 0.0000 0.4262
C 0.0000 0.0000 0.5738
C 0.0000 0.0000 0.9262

Calculated values
E_form (eV/atom): 1.512
Calculated density (Mg/m³): 7.8
Excess energy over the best structure of this formula in the dataset (eV per atom): 0.6099

Record 11
This record from Alexandria describes a relaxed structure of NdInNi. The functional is PBE.

a b c (Å): 4.6726 4.6726 4.6726
angles (deg): 60.00 60.00 60.00
Fractional coordinates of all 3 atoms:
Nd 0.0000 0.0000 0.0000
In 0.5000 0.5000 0.5000
Ni 0.2500 0.2500 0.2500

Calculated values
E_form (eV/atom): -0.308
Calculated density (Mg/m³): 7.3

Record 12
This record from Alexandria describes a relaxed structure of In2GaS6. The functional is PBE.

a b c (Å): 6.0439 6.0439 11.4741
angles (deg): 90.00 90.00 90.00
Fractional coordinates of all 18 atoms:
In 0.0000 0.0000 0.1678
In 0.0000 0.0000 0.8322
In 0.5000 0.5000 0.3322
In 0.5000 0.5000 0.6678
Ga 0.0000 0.0000 0.5000
Ga 0.5000 0.5000 0.0000
S 0.1887 0.1887 0.3436
S 0.1887 0.1887 0.6564
S 0.2054 0.2054 0.0000
S 0.2946 0.7054 0.5000
S 0.3113 0.6887 0.1564
S 0.3113 0.6887 0.8436
S 0.6887 0.3113 0.1564
S 0.6887 0.3113 0.8436
S 0.7054 0.2946 0.5000
S 0.7946 0.7946 0.0000
S 0.8113 0.8113 0.3436
S 0.8113 0.8113 0.6564

Calculated values
Energy relative to the elements, uncorrected (eV per atom): -0.04
Calculated density (Mg/m³): 3.9

Q: What is the calculated density in the seventh record?
A: 7.9 Mg/m³